No. 1
Compound: Mg3Te
Source: Alexandria via LeMat-Bulk
Functional: PBE-GGA
Structure: optimized geometry

Cell: 5.9160 5.9160 5.9160 Å, 141.48 128.71 65.93°
Sites, in units of the cell vectors:
Mg: 0.7619 0.7377 0.0243
Mg: 0.2866 0.2623 0.0243
Mg: 0.1172 0.5000 0.6172
Te: 0.6676 0.0000 0.6676

* relative energy among the computed polymorphs: 27 meV per atom
* symmetry: No. 44
* formation energy without anion corrections: -0.181 eV/atom
* N(E_F): 1.201 states/eV/cell



No. 2
Compound: Mg3Te5
Source: Alexandria via LeMat-Bulk
Functional: PBE-GGA
Structure: optimized geometry

Cell: 9.0717 9.0717 6.2720 Å, 90.00 90.00 120.00°
Sites, in units of the cell vectors:
Mg: 0.6384 0.0000 0.2500
Mg: 0.3616 0.0000 0.7500
Mg: 0.0000 0.6384 0.2500
Mg: 0.3616 0.3616 0.2500
Mg: 0.6384 0.6384 0.7500
Mg: 0.0000 0.3616 0.7500
Te: 0.3333 0.6667 0.0000
Te: 0.6667 0.3333 0.5000
Te: 0.6667 0.3333 0.0000
Te: 0.3333 0.6667 0.5000
Te: 0.2909 0.0000 0.2500
Te: 0.7091 0.0000 0.7500
Te: 0.0000 0.2909 0.2500
Te: 0.7091 0.7091 0.2500
Te: 0.2909 0.2909 0.7500
Te: 0.0000 0.7091 0.7500

* relative energy among the computed polymorphs: 203 meV per atom
* symmetry: No. 193
* formation energy without anion corrections: -0.249 eV/atom
* N(E_F): 13.199 states/eV/cell



No. 3
Compound: Mg5Te
Source: Alexandria via LeMat-Bulk
Functional: PBE-GGA
Structure: optimized geometry

Cell: 7.6488 7.6488 4.4225 Å, 90.00 90.00 146.27°
Sites, in units of the cell vectors:
Mg: 0.3269 0.6731 0.5000
Mg: 0.1722 0.8278 0.0000
Mg: 0.0000 0.0000 0.5000
Mg: 0.8278 0.1722 0.0000
Mg: 0.6731 0.3269 0.5000
Te: 0.5000 0.5000 0.0000

* relative energy among the computed polymorphs: 11 meV per atom
* symmetry: No. 65
* formation energy without anion corrections: -0.110 eV/atom
* N(E_F): 3.407 states/eV/cell



No. 4
Compound: Mg5Te4
Source: Alexandria via LeMat-Bulk
Functional: PBE-GGA
Structure: optimized geometry

Cell: 8.0768 8.0768 8.0768 Å, 93.75 93.75 150.38°
Sites, in units of the cell vectors:
Mg: 0.0000 0.0000 0.0000
Mg: 0.6477 0.3523 0.0000
Mg: 0.3523 0.6477 0.0000
Mg: 0.3523 0.3523 0.7046
Mg: 0.6477 0.6477 0.2954
Te: 0.7275 0.0000 0.7275
Te: 0.2725 0.0000 0.2725
Te: 0.0000 0.2725 0.2725
Te: 0.0000 0.7275 0.7275

* relative energy among the computed polymorphs: 31 meV per atom
* symmetry: No. 139
* formation energy without anion corrections: -0.480 eV/atom
* N(E_F): 1.822 states/eV/cell



No. 5
Compound: Mg5Te
Source: Alexandria via LeMat-Bulk
Functional: PBE-GGA
Structure: optimized geometry

Cell: 3.8166 3.8166 9.8466 Å, 90.00 90.00 90.00°
Sites, in units of the cell vectors:
Mg: 0.0000 0.0000 0.8364
Mg: 0.0000 0.0000 0.1636
Mg: 0.5000 0.5000 0.6653
Mg: 0.5000 0.5000 0.3347
Mg: 0.0000 0.0000 0.5000
Te: 0.5000 0.5000 0.0000

* relative energy among the computed polymorphs: 0 meV per atom
* symmetry: No. 123
* formation energy without anion corrections: -0.121 eV/atom
* N(E_F): 2.006 states/eV/cell



No. 6
Compound: Mg3Te
Source: Alexandria via LeMat-Bulk
Functional: PBE-GGA
Structure: optimized geometry

Cell: 4.0322 4.0322 8.0527 Å, 90.00 90.00 120.00°
Sites, in units of the cell vectors:
Mg: 0.0000 0.0000 0.9711
Mg: 0.0000 0.0000 0.5289
Mg: 0.6667 0.3333 0.2500
Te: 0.6667 0.3333 0.7500

* relative energy among the computed polymorphs: 71 meV per atom
* symmetry: No. 187
* formation energy without anion corrections: -0.137 eV/atom
* N(E_F): 1.199 states/eV/cell



No. 7
Compound: Mg3Te
Source: Alexandria via LeMat-Bulk
Functional: PBE-GGA
Structure: optimized geometry

Cell: 5.8276 5.8276 5.8276 Å, 90.00 90.00 90.00°
Sites, in units of the cell vectors:
Mg: 0.7500 0.5000 0.0000
Mg: 0.2500 0.5000 0.0000
Mg: 0.0000 0.7500 0.5000
Mg: 0.0000 0.2500 0.5000
Mg: 0.5000 0.0000 0.2500
Mg: 0.5000 0.0000 0.7500
Te: 0.0000 0.0000 0.0000
Te: 0.5000 0.5000 0.5000

* relative energy among the computed polymorphs: 147 meV per atom
* symmetry: No. 223
* formation energy without anion corrections: -0.062 eV/atom
* N(E_F): 4.187 states/eV/cell



No. 8
Compound: MgTe2
Source: Alexandria via LeMat-Bulk
Functional: PBE-GGA
Structure: optimized geometry

Cell: 7.1084 7.1084 7.1084 Å, 90.00 90.00 90.00°
Sites, in units of the cell vectors:
Mg: 0.0000 0.0000 0.0000
Mg: 0.5000 0.0000 0.5000
Mg: 0.0000 0.5000 0.5000
Mg: 0.5000 0.5000 0.0000
Te: 0.3867 0.3867 0.3867
Te: 0.1133 0.6133 0.8867
Te: 0.6133 0.8867 0.1133
Te: 0.8867 0.1133 0.6133
Te: 0.6133 0.6133 0.6133
Te: 0.8867 0.3867 0.1133
Te: 0.3867 0.1133 0.8867
Te: 0.1133 0.8867 0.3867

* symmetry: No. 205
* formation energy without anion corrections: -0.579 eV/atom



No. 9
Compound: Mg5Te
Source: Alexandria via LeMat-Bulk
Functional: PBE-GGA
Structure: optimized geometry

Cell: 6.0681 6.0681 7.7763 Å, 72.09 72.09 32.41°
Sites, in units of the cell vectors:
Mg: 0.0101 0.0101 0.9991
Mg: 0.6600 0.6600 0.6545
Mg: 0.3358 0.3358 0.3320
Mg: 0.3805 0.3805 0.7336
Mg: 0.0492 0.0492 0.3905
Te: 0.7311 0.7311 0.0571

* relative energy among the computed polymorphs: 45 meV per atom
* symmetry: No. 8
* formation energy without anion corrections: -0.076 eV/atom
* N(E_F): 2.714 states/eV/cell



No. 10
Compound: MgTe2
Source: Alexandria via LeMat-Bulk
Functional: PBE-GGA
Structure: optimized geometry

Cell: 6.8012 6.8012 8.7273 Å, 74.06 74.06 29.51°
Sites, in units of the cell vectors:
Mg: 0.8393 0.8393 0.0085
Mg: 0.7424 0.7424 0.6876
Te: 0.3801 0.3801 0.2618
Te: 0.4145 0.4145 0.7289
Te: 0.1670 0.1670 0.4674
Te: 0.6234 0.6234 0.0124

* symmetry: No. 8
* formation energy without anion corrections: -0.415 eV/atom
* N(E_F): 1.621 states/eV/cell



No. 11
Compound: MgTe5
Source: Alexandria via LeMat-Bulk
Functional: PBE-GGA
Structure: optimized geometry

Cell: 7.8409 7.8409 7.6643 Å, 83.61 83.61 29.55°
Sites, in units of the cell vectors:
Mg: 0.9312 0.9312 0.0600
Te: 0.4039 0.4039 0.6451
Te: 0.6484 0.6484 0.1998
Te: 0.5440 0.5440 0.8721
Te: 0.0172 0.0172 0.3815
Te: 0.2886 0.2886 0.0081

* relative energy among the computed polymorphs: 0 meV per atom
* symmetry: No. 8
* formation energy without anion corrections: -0.148 eV/atom
* N(E_F): 2.893 states/eV/cell



No. 12
Compound: Mg3Te
Source: Alexandria via LeMat-Bulk
Functional: PBE-GGA
Structure: optimized geometry

Cell: 6.0980 6.0980 6.0980 Å, 138.91 138.91 59.51°
Sites, in units of the cell vectors:
Mg: 0.5000 0.5000 0.0000
Mg: 0.7500 0.2500 0.5000
Mg: 0.2500 0.7500 0.5000
Te: 0.0000 0.0000 0.0000

* relative energy among the computed polymorphs: 46 meV per atom
* symmetry: No. 139
* formation energy without anion corrections: -0.162 eV/atom
* N(E_F): 2.162 states/eV/cell



No. 13
Compound: MgTe2
Source: Alexandria via LeMat-Bulk
Functional: PBE-GGA
Structure: optimized geometry

Cell: 7.6504 7.6504 3.2586 Å, 90.00 90.00 90.00°
Sites, in units of the cell vectors:
Mg: 0.5000 0.5000 0.0000
Mg: 0.0000 0.0000 0.5000
Te: 0.7802 0.7802 0.0000
Te: 0.2198 0.2198 0.0000
Te: 0.2802 0.7198 0.5000
Te: 0.7198 0.2802 0.5000

* symmetry: No. 136
* formation energy without anion corrections: -0.222 eV/atom
* N(E_F): 8.016 states/eV/cell



No. 14
Compound: MgTe2
Source: Alexandria via LeMat-Bulk
Functional: PBE-GGA
Structure: optimized geometry

Cell: 6.0833 6.0833 6.0833 Å, 142.01 142.01 54.82°
Sites, in units of the cell vectors:
Mg: 0.0000 0.0000 0.0000
Te: 0.3652 0.3652 0.0000
Te: 0.6348 0.6348 0.0000

* symmetry: No. 139
* formation energy without anion corrections: -0.225 eV/atom
* N(E_F): 1.862 states/eV/cell



No. 15
Compound: MgTe2
Source: Alexandria via LeMat-Bulk
Functional: PBE-GGA
Structure: optimized geometry

Cell: 9.3798 9.3798 9.3798 Å, 22.15 22.15 22.15°
Sites, in units of the cell vectors:
Mg: 0.0000 0.0000 0.0000
Te: 0.2579 0.2579 0.2579
Te: 0.7421 0.7421 0.7421

* symmetry: No. 166
* formation energy without anion corrections: -0.306 eV/atom
* N(E_F): 2.326 states/eV/cell



No. 16
Compound: MgTe2
Source: Alexandria via LeMat-Bulk
Functional: PBE-GGA
Structure: optimized geometry

Cell: 7.7488 7.7488 5.5193 Å, 90.00 90.00 120.00°
Sites, in units of the cell vectors:
Mg: 0.0000 0.0000 0.0000
Mg: 0.3333 0.6667 0.5000
Mg: 0.6667 0.3333 0.5000
Te: 0.3794 0.3794 0.7941
Te: 0.6206 0.0000 0.7941
Te: 0.0000 0.6206 0.7941
Te: 0.0000 0.3794 0.2059
Te: 0.3794 0.0000 0.2059
Te: 0.6206 0.6206 0.2059

* symmetry: No. 162
* formation energy without anion corrections: -0.324 eV/atom
* N(E_F): 5.152 states/eV/cell



No. 17
Compound: Mg3Te2
Source: Alexandria via LeMat-Bulk
Functional: PBE-GGA
Structure: optimized geometry

Cell: 5.1340 5.1340 6.1864 Å, 90.00 90.00 120.00°
Sites, in units of the cell vectors:
Mg: 0.0000 0.0000 0.0000
Mg: 0.6667 0.3333 0.7208
Mg: 0.3333 0.6667 0.2792
Te: 0.6667 0.3333 0.2379
Te: 0.3333 0.6667 0.7621

* relative energy among the computed polymorphs: 123 meV per atom
* symmetry: No. 164
* formation energy without anion corrections: -0.413 eV/atom
* N(E_F): 1.518 states/eV/cell



No. 18
Compound: MgTe2
Source: Alexandria via LeMat-Bulk
Functional: PBE-GGA
Structure: optimized geometry

Cell: 8.3895 8.3895 4.0030 Å, 90.00 90.00 120.00°
Sites, in units of the cell vectors:
Mg: 0.3333 0.6667 0.0000
Mg: 0.6667 0.3333 0.0000
Mg: 0.0000 0.0000 0.5000
Te: 0.2586 0.0000 0.0000
Te: 0.0000 0.2586 0.0000
Te: 0.7414 0.7414 0.0000
Te: 0.5610 0.0000 0.5000
Te: 0.0000 0.5610 0.5000
Te: 0.4390 0.4390 0.5000

* symmetry: No. 189
* formation energy without anion corrections: -0.218 eV/atom
* N(E_F): 5.714 states/eV/cell



No. 19
Compound: Mg5Te4
Source: Alexandria via LeMat-Bulk
Functional: PBE-GGA
Structure: optimized geometry

Cell: 8.3936 8.3936 8.1198 Å, 90.00 90.00 120.00°
Sites, in units of the cell vectors:
Mg: 0.0000 0.7515 0.2500
Mg: 0.2485 0.2485 0.2500
Mg: 0.7515 0.0000 0.2500
Mg: 0.0000 0.2485 0.7500
Mg: 0.7515 0.7515 0.7500
Mg: 0.2485 0.0000 0.7500
Mg: 0.6667 0.3333 0.0000
Mg: 0.3333 0.6667 0.5000
Mg: 0.3333 0.6667 0.0000
Mg: 0.6667 0.3333 0.5000
Te: 0.0000 0.0000 0.0000
Te: 0.0000 0.0000 0.5000
Te: 0.0000 0.4193 0.2500
Te: 0.5807 0.5807 0.2500
Te: 0.4193 0.0000 0.2500
Te: 0.0000 0.5807 0.7500
Te: 0.4193 0.4193 0.7500
Te: 0.5807 0.0000 0.7500

* relative energy among the computed polymorphs: 0 meV per atom
* symmetry: No. 193
* formation energy without anion corrections: -0.511 eV/atom
* N(E_F): 7.096 states/eV/cell



No. 20
Compound: Mg3Te5
Source: Alexandria via LeMat-Bulk
Functional: PBE-GGA
Structure: optimized geometry

Cell: 7.7036 10.1608 9.1797 Å, 108.57 96.29 124.07°
Sites, in units of the cell vectors:
Mg: 0.7524 0.7709 0.9416
Mg: 0.3108 0.3292 0.0584
Mg: 0.2109 0.0833 0.5000
Mg: 0.6199 0.9093 0.5000
Mg: 0.0385 0.5337 0.7310
Mg: 0.8074 0.3026 0.2690
Te: 0.1734 0.6852 0.5000
Te: 0.6336 0.1938 0.5000
Te: 0.8341 0.0557 0.8676
Te: 0.1631 0.8363 0.9953
Te: 0.8251 0.6924 0.3011
Te: 0.3249 0.4356 0.6842
Te: 0.6679 0.3411 0.0047
Te: 0.4665 0.6881 0.1324
Te: 0.1407 0.2514 0.3158
Te: 0.0241 0.8913 0.6989

* relative energy among the computed polymorphs: 0 meV per atom
* symmetry: No. 8
* formation energy without anion corrections: -0.452 eV/atom
* N(E_F): 0.379 states/eV/cell



Computed spin magnetization, in the same sequence as the records: 0.0 0.0 0.0 0.0 0.0 0.0 0.0 0.0 0.0 0.0 0.0 0.0 0.0 0.0 0.0 0.0 0.0 0.0 0.0 0.0 μB per formula unit.
Computed DFT total energy, in the same sequence as the records: -8.6 -45.0 -11.8 -24.9 -11.8 -8.5 -16.3 -38.5 -11.6 -18.2 -18.2 -8.6 -17.1 -8.6 -8.8 -26.6 -13.1 -25.6 -50.3 -48.2 eV per cell.